(1)
This record from Alexandria describes an optimized crystal structure of CsBaAu2. The functional is PBE.

a b c (Å): 4.2538 4.2538 8.4039
angles (deg): 90.00 90.00 90.00
Atoms (fractional coordinates):
Cs 0.5000 0.5000 0.5000
Ba 0.5000 0.5000 0.0000
Au 0.0000 0.0000 0.8089
Au 0.0000 0.0000 0.1911

## Properties
Relative energy among the computed polymorphs in meV per atom: 0
Energy of formation from the pure elements in eV per atom: -0.515



(2)
This record from Alexandria describes an optimized crystal structure of CsBaAu4. The functional is PBE.

a b c (Å): 6.0914 6.0914 6.0914
angles (deg): 60.00 60.00 60.00
Atoms (fractional coordinates):
Ba 0.2500 0.2500 0.2500
Au 0.6248 0.6248 0.1256
Au 0.6248 0.1256 0.6248
Au 0.1256 0.6248 0.6248
Au 0.6248 0.6248 0.6248
Cs 0.0000 0.0000 0.0000

## Properties
Relative energy among the computed polymorphs in meV per atom: 162
Energy of formation from the pure elements in eV per atom: -0.292



(3)
This record from Alexandria describes an optimized crystal structure of CsBaAu2. The functional is PBE.

a b c (Å): 5.8436 5.8436 5.8436
angles (deg): 60.00 60.00 60.00
Atoms (fractional coordinates):
Au 0.2500 0.2500 0.2500
Au 0.7500 0.7500 0.7500
Cs 0.0000 0.0000 0.0000
Ba 0.5000 0.5000 0.5000

## Properties
Relative energy among the computed polymorphs in meV per atom: 87
Energy of formation from the pure elements in eV per atom: -0.428



(4)
This record from Alexandria describes an optimized crystal structure of CsBaAu. The functional is PBE.

a b c (Å): 5.8737 5.8737 5.8737
angles (deg): 60.00 60.00 60.00
Atoms (fractional coordinates):
Cs 0.0000 0.0000 0.0000
Ba 0.5000 0.5000 0.5000
Au 0.2500 0.2500 0.2500

## Properties
Relative energy among the computed polymorphs in meV per atom: 68
Energy of formation from the pure elements in eV per atom: -0.253



(5)
This record from Alexandria describes an optimized crystal structure of CsBa2Au. The functional is PBE.

a b c (Å): 4.9135 4.9135 12.2849
angles (deg): 78.46 78.46 60.00
Atoms (fractional coordinates):
Cs 0.5003 0.5003 0.4991
Au 0.6665 0.6665 0.0005
Ba 0.2856 0.2856 0.1431
Ba 0.0475 0.0475 0.8574

## Properties
Relative energy among the computed polymorphs in meV per atom: 0
Energy of formation from the pure elements in eV per atom: -0.360



(6)
This record from Alexandria describes an optimized crystal structure of Cs2Ba2Au. The functional is PBE.

a b c (Å): 4.7680 4.7680 12.6678
angles (deg): 79.15 79.15 90.00
Atoms (fractional coordinates):
Cs 0.7500 0.2500 0.5000
Cs 0.2500 0.7500 0.5000
Ba 0.5756 0.5756 0.8489
Ba 0.4244 0.4244 0.1511
Au 0.0000 0.0000 0.0000

## Properties
Energy of formation from the pure elements in eV per atom: 0.237



(7)
This record from Alexandria describes an optimized crystal structure of CsBa2Au6. The functional is PBE.

a b c (Å): 4.3697 8.5088 8.5058
angles (deg): 120.01 89.99 90.00
Atoms (fractional coordinates):
Au 0.4998 0.0000 0.3351
Au 0.5000 0.3352 0.0000
Au 0.5002 0.0000 0.6649
Au 0.5002 0.6649 0.6649
Au 0.4998 0.3351 0.3351
Au 0.5000 0.6648 0.0000
Ba 0.0000 0.6667 0.3334
Ba 0.0000 0.3333 0.6666
Cs 0.0000 0.0000 0.0000

## Properties
Energy of formation from the pure elements in eV per atom: -0.545



(8)
This record from Alexandria describes an optimized crystal structure of CsBa2Au3. The functional is PBE.

a b c (Å): 4.1343 4.1343 12.5121
angles (deg): 90.00 90.00 90.00
Atoms (fractional coordinates):
Cs 0.5000 0.5000 0.5000
Au 0.0000 0.0000 0.7034
Au 0.0000 0.0000 0.2966
Au 0.0000 0.0000 0.0000
Ba 0.5000 0.5000 0.1579
Ba 0.5000 0.5000 0.8421

## Properties
Energy of formation from the pure elements in eV per atom: -0.565



- energy of formation from the pure elements of number 8 (CsBa2Au3)?
  -0.565 eV per atom



- energy of formation from the pure elements of number 8 (CsBa2Au3)?
  -0.565 eV per atom



- Among the records above, which one has the highest energy of formation from the pure elements?
  Cs2Ba2Au